[1]
Here is crystalline YPa3Sn12 at its relaxed geometry from the Alexandria database. Energies are from PBE.

Results
Fermi-level density of states: 15.00 states/eV/cell
DFT formation energy: -511 kJ/mol of formula units
total moment: 0.000 μB per atom

Cell: 4.678 4.678 18.509 Å, 90.00 90.00 90.00°
Space group P4/mmm (No. 123)
Asymmetric unit:
Y1 0.000 0.000 0.000 (multiplicity 1)
Pa1 0.000 0.000 0.253 (multiplicity 2)
Pa2 0.000 0.000 0.500 (multiplicity 1)
Sn1 0.000 0.500 0.127 (multiplicity 4)
Sn2 0.000 0.500 0.376 (multiplicity 4)
Sn3 0.500 0.500 0.000 (multiplicity 1)
Sn4 0.500 0.500 0.251 (multiplicity 2)
Sn5 0.500 0.500 0.500 (multiplicity 1)

=====

[2]
Here is crystalline NdGaC at its relaxed geometry from the Alexandria database. Energies are from PBE.

Results
excess energy over the best structure of this formula in the dataset: 0.00 eV/f.u.
Fermi-level density of states: 1.60 states/eV/cell
DFT formation energy: -120 kJ/mol of formula units
total moment: 0.000 μB per atom

Cell: 7.573 4.088 7.786 Å, 90.00 105.24 90.00°
Space group C2/m (No. 12)
Asymmetric unit:
Nd1 0.084 0.000 0.304 (multiplicity 4)
Ga1 0.167 0.500 0.016 (multiplicity 4)
C1 0.088 0.500 0.540 (multiplicity 4)

=====

| no. | total DFT energy (no corrections) (eV for the cell shown) |
| --- | --- |
| 1 | -88.3 |
| 2 | -73.1 |